Entry 1:
## Sc6Al2H (PBE)

Data for a geometry-optimized Sc6Al2H structure.

Lattice parameters (Å, degrees): 8.8547 8.8547 8.8547 90.00 90.00 90.00
Space group Fm-3m (No. 225)
Asymmetric unit:
1 Sc 0.0000 0.0000 0.2490
2 Al 0.2500 0.2500 0.2500
3 H 0.0000 0.0000 0.5000



Entry 2:
## ScAlH (PBE)

Data for a geometry-optimized ScAlH structure.

Its energy relative to the lowest polymorph listed for this composition is 235 meV per atom.

Lattice parameters (Å, degrees): 2.8967 2.8967 10.5895 90.00 90.00 90.00
Space group I4mm (No. 107)
Asymmetric unit:
1 Sc 0.0000 0.0000 0.0000
2 Al 0.0000 0.0000 0.2838
3 H 0.0000 0.0000 0.5396



Entry 3:
## ScAlH2 (PBE)

Data for a geometry-optimized ScAlH2 structure.

Its energy relative to the lowest polymorph listed for this composition is 277 meV per atom.

Lattice parameters (Å, degrees): 5.5447 5.5447 5.5447 90.00 90.00 90.00
Space group Fm-3m (No. 225)
Asymmetric unit:
1 Sc 0.0000 0.0000 0.0000
2 Al 0.0000 0.0000 0.5000
3 H 0.2500 0.2500 0.2500



Entry 4:
## Sc3AlH (PBE)

Data for a geometry-optimized Sc3AlH structure.

Lattice parameters (Å, degrees): 5.0142 6.0894 5.7220 90.00 90.91 90.00
Space group P2_1/m (No. 11)
Asymmetric unit:
1 Sc 0.2480 0.0050 0.3492
2 Sc 0.2487 0.2500 0.8743
3 Al 0.2432 0.7500 0.8423
4 H 0.4620 0.2500 0.5720



Entry 5:
## ScAlH3 (PBE)

Data for a geometry-optimized ScAlH3 structure.

Lattice parameters (Å, degrees): 3.6213 3.6213 3.6213 90.00 90.00 90.00
Space group Pm-3m (No. 221)
Asymmetric unit:
1 Sc 0.0000 0.0000 0.0000
2 Al 0.5000 0.5000 0.5000
3 H 0.0000 0.5000 0.5000



Entry 6:
## ScAlH3 (PBE)

Data for a geometry-optimized ScAlH3 structure.

Lattice parameters (Å, degrees): 3.7724 3.7724 3.7724 90.00 90.00 90.00
Space group Pm-3m (No. 221)
Asymmetric unit:
1 Sc 0.0000 0.0000 0.0000
2 Al 0.5000 0.5000 0.5000
3 H 0.0000 0.0000 0.5000



Entry 7:
## Sc2AlH2 (PBE)

Data for a geometry-optimized Sc2AlH2 structure.

Lattice parameters (Å, degrees): 3.3186 3.3186 12.0179 90.00 90.00 90.00
Space group I4/mmm (No. 139)
Asymmetric unit:
1 Sc 0.0000 0.0000 0.1513
2 Al 0.0000 0.0000 0.5000
3 H 0.0000 0.5000 0.2500



Entry 8:
## ScAlH2 (PBE)

Data for a geometry-optimized ScAlH2 structure.

Its energy relative to the lowest polymorph listed for this composition is 0 meV per atom.

Lattice parameters (Å, degrees): 4.3375 4.3375 9.5134 90.00 90.00 90.00
Space group I-42d (No. 122)
Asymmetric unit:
1 Sc 0.0000 0.0000 0.0000
2 Al 0.0000 0.0000 0.5000
3 H 0.2440 0.2500 0.6250



Entry 9:
## ScAlH2Se (PBE)

Data for a geometry-optimized ScAlH2Se structure.

Lattice parameters (Å, degrees): 3.7046 3.7046 5.7266 90.00 90.00 90.00
Space group P4/mmm (No. 123)
Asymmetric unit:
1 Sc 0.0000 0.0000 0.0000
2 Al 0.5000 0.5000 0.5000
3 H 0.0000 0.5000 0.5000
4 Se 0.5000 0.5000 0.0000



Entry 10:
## Sc2TaAlH (PBE)

Data for a geometry-optimized Sc2TaAlH structure.

Lattice parameters (Å, degrees): 4.3294 4.3294 4.2250 90.00 90.00 90.00
Space group P4/mmm (No. 123)
Asymmetric unit:
1 Sc 0.0000 0.5000 0.0000
2 Ta 0.0000 0.0000 0.5000
3 Al 0.5000 0.5000 0.5000
4 H 0.0000 0.0000 0.0000



Entry 11:
## Sc2TiAlH (PBE)

Data for a geometry-optimized Sc2TiAlH structure.

Lattice parameters (Å, degrees): 4.3389 4.3389 4.2105 90.00 90.00 90.00
Space group P4/mmm (No. 123)
Asymmetric unit:
1 Sc 0.0000 0.5000 0.0000
2 Ti 0.0000 0.0000 0.5000
3 Al 0.5000 0.5000 0.5000
4 H 0.0000 0.0000 0.0000



Entry 12:
## Sc2AlVH (PBE)

Data for a geometry-optimized Sc2AlVH structure.

Lattice parameters (Å, degrees): 4.3261 4.3261 4.0186 90.00 90.00 90.00
Space group P4/mmm (No. 123)
Asymmetric unit:
1 Sc 0.0000 0.5000 0.0000
2 Al 0.0000 0.0000 0.5000
3 V 0.5000 0.5000 0.5000
4 H 0.5000 0.5000 0.0000



Entry 13:
## ScAlHW2 (PBE)

Data for a geometry-optimized ScAlHW2 structure.

Lattice parameters (Å, degrees): 4.5863 4.5863 5.0685 90.00 90.00 90.00
Space group P4/mmm (No. 123)
Asymmetric unit:
1 Sc 0.0000 0.0000 0.0000
2 Al 0.0000 0.0000 0.5000
3 H 0.5000 0.5000 0.0000
4 W 0.0000 0.5000 0.5000



Entry 14:
## YSc2AlH (PBE)

Data for a geometry-optimized YSc2AlH structure.

Lattice parameters (Å, degrees): 4.5209 4.5209 4.6095 90.00 90.00 90.00
Space group P4/mmm (No. 123)
Asymmetric unit:
1 Y 0.0000 0.0000 0.0000
2 Sc 0.0000 0.5000 0.5000
3 Al 0.5000 0.5000 0.0000
4 H 0.0000 0.0000 0.5000



Entry 15:
## ZrSc2AlH (PBE)

Data for a geometry-optimized ZrSc2AlH structure.

Its energy relative to the lowest polymorph listed for this composition is 0 meV per atom.

Lattice parameters (Å, degrees): 4.4044 4.4044 4.4020 90.00 90.00 90.00
Space group P4/mmm (No. 123)
Asymmetric unit:
1 Zr 0.0000 0.0000 0.0000
2 Sc 0.0000 0.5000 0.5000
3 Al 0.5000 0.5000 0.0000
4 H 0.0000 0.0000 0.5000



Entry 16:
## ZrSc2AlH (PBE)

Data for a geometry-optimized ZrSc2AlH structure.

Its energy relative to the lowest polymorph listed for this composition is 123 meV per atom.

Lattice parameters (Å, degrees): 4.3511 4.3511 4.4990 90.00 90.00 90.00
Space group P4/mmm (No. 123)
Asymmetric unit:
1 Zr 0.0000 0.0000 0.0000
2 Sc 0.0000 0.5000 0.5000
3 Al 0.5000 0.5000 0.0000
4 H 0.5000 0.5000 0.5000



Entry 17:
## AlHSe (PBE)

Data for a geometry-optimized AlHSe structure.

Lattice parameters (Å, degrees): 6.6319 6.3277 7.3229 90.00 120.52 90.00
Space group P2_1/c (No. 14)
Asymmetric unit:
1 Al 0.0610 0.2156 0.4222
2 H 0.2741 0.1339 0.0704
3 Se 0.1984 0.6484 0.9342



Entry 18:
## Al2H6Se (PBE)

Data for a geometry-optimized Al2H6Se structure.

Its energy relative to the lowest polymorph listed for this composition is 0 meV per atom.

Lattice parameters (Å, degrees): 10.9674 7.8079 3.2350 90.00 104.74 90.00
Space group C2/m (No. 12)
Asymmetric unit:
1 Al 0.0000 0.2482 0.0000
2 H 0.0000 0.3595 0.5000
3 H 0.1895 0.5000 0.7353
4 H 0.2463 0.0000 0.3122
5 Se 0.0000 0.0000 0.5000



Entry 19:
## AlHSe (PBE)

Data for a geometry-optimized AlHSe structure.

Lattice parameters (Å, degrees): 3.8623 3.8623 6.0954 90.00 90.00 90.00
Space group P4/nmm (No. 129, origin choice 2)
Asymmetric unit:
1 Al 0.2500 0.7500 0.0000
2 H 0.2500 0.2500 0.1343
3 Se 0.2500 0.2500 0.7097



Entry 20:
## AlH2Se2 (PBE)

Data for a geometry-optimized AlH2Se2 structure.

Lattice parameters (Å, degrees): 3.9516 4.9166 9.7181 91.49 93.02 90.23
Space group P-1 (No. 2)
Asymmetric unit:
1 Al 0.2071 0.2572 0.1815
2 H 0.0072 0.7517 0.9988
3 H 0.2660 0.4477 0.6335
4 Se 0.2713 0.7508 0.6517
5 Se 0.2939 0.7579 0.1296



Entry 21:
## AlHSe (PBE)

Data for a geometry-optimized AlHSe structure.

Lattice parameters (Å, degrees): 6.2333 6.2627 5.7617 90.00 105.46 90.00
Space group P2_1/c (No. 14)
Asymmetric unit:
1 Al 0.0541 0.0898 0.2362
2 H 0.1380 0.6198 0.5949
3 Se 0.2645 0.0916 0.6695



Entry 22:
## AlH3Se (PBE)

Data for a geometry-optimized AlH3Se structure.

Its energy relative to the lowest polymorph listed for this composition is 0 meV per atom.

Lattice parameters (Å, degrees): 3.6392 3.6392 3.6392 90.00 90.00 90.00
Space group Pm-3m (No. 221)
Asymmetric unit:
1 Al 0.0000 0.0000 0.0000
2 H 0.0000 0.0000 0.5000
3 Se 0.5000 0.5000 0.5000



Entry 23:
## AlH3Se (PBE)

Data for a geometry-optimized AlH3Se structure.

Its energy relative to the lowest polymorph listed for this composition is 179 meV per atom.

Lattice parameters (Å, degrees): 3.8288 3.8288 3.8288 90.00 90.00 90.00
Space group Pm-3m (No. 221)
Asymmetric unit:
1 Al 0.0000 0.0000 0.0000
2 H 0.0000 0.5000 0.5000
3 Se 0.5000 0.5000 0.5000



Entry 24:
## Al2H6Se (PBE)

Data for a geometry-optimized Al2H6Se structure.

Its energy relative to the lowest polymorph listed for this composition is 636 meV per atom.

Lattice parameters (Å, degrees): 7.1247 7.1247 7.1247 90.00 90.00 90.00
Space group Fm-3m (No. 225)
Asymmetric unit:
1 Al 0.2500 0.2500 0.2500
2 H 0.0000 0.0000 0.2481
3 Se 0.0000 0.0000 0.0000



Entry 25:
## AlHWSe2 (PBE)

Data for a geometry-optimized AlHWSe2 structure.

Lattice parameters (Å, degrees): 4.7363 4.7363 4.9369 90.00 90.00 90.00
Space group P4/mmm (No. 123)
Asymmetric unit:
1 Al 0.0000 0.0000 0.0000
2 H 0.5000 0.5000 0.5000
3 W 0.0000 0.0000 0.5000
4 Se 0.0000 0.5000 0.0000



Entry 26:
## AlSiH (PBE)

Data for a geometry-optimized AlSiH structure.

Its energy relative to the lowest polymorph listed for this composition is 43 meV per atom.

Lattice parameters (Å, degrees): 4.2617 4.3324 5.6900 108.50 111.27 90.10
Space group P1 (No. 1)
Asymmetric unit:
1 Al 0.0000 0.0000 0.0000
2 Al 0.2218 0.1417 0.5618
3 Si 0.4119 0.7343 0.7951
4 Si 0.5977 0.9031 0.2918
5 H 0.0152 0.3924 0.0654
6 H 0.6027 0.5545 0.2914



Looking at VASP energy for the records above, in order, we have -0.4212 -0.3388 -0.3007 -0.4105 -0.2843 -0.2983 -0.3835 -0.3211 -0.3157 -0.4832 -0.4302 -0.4409 -0.4213 -0.4092 -0.4436 -0.4346 -0.2933 -0.2411 -0.2576 -0.2662 -0.2899 -0.2145 -0.2014 -0.1944 -0.2735 -0.2939 Ry per atom.
Looking at total magnetic moment for the records above, in order, we have 3.00 0.39 0.00 0.49 0.00 0.00 0.00 0.00 0.00 0.00 0.00 0.00 0.00 1.32 0.00 0.00 0.00 0.00 0.00 0.00 0.00 0.00 0.00 0.00 0.78 0.00 μB per formula unit.